[1]
PaTaAl: optimized geometry, GGA-PBE.

a = 4.7028 Å, b = 4.7028 Å, c = 4.7028 Å
α = 60.00°, β = 60.00°, γ = 60.00°
Atoms (fractional coordinates):
Pa 0.0000 0.0000 0.0000
Ta 0.2500 0.2500 0.2500
Al 0.7500 0.7500 0.7500

Computed properties:
Volume: 24.51 Å³/atom
E: -7.1927 eV/atom



[2]
SrLiCoTe: optimized geometry, GGA-PBE.

a = 5.2252 Å, b = 5.2252 Å, c = 5.2252 Å
α = 60.00°, β = 60.00°, γ = 60.00°
Atoms (fractional coordinates):
Sr 0.0000 0.0000 0.0000
Li 0.5000 0.5000 0.5000
Co 0.2500 0.2500 0.2500
Te 0.7500 0.7500 0.7500

Computed properties:
Volume: 25.22 Å³/atom
E: -3.5540 eV/atom